# 1
First-principles (PBE) data for a relaxed structure of LiCrInPt, as listed in the Alexandria database.

## Properties
As for the formation energy: -0.24 eV/atom. Its total magnetization is 14.436 μB/cell.

a b c (Å): 6.391 6.391 6.391
angles (deg): 90.00 90.00 90.00
Space group F-43m (No. 216)
Inequivalent atoms, fractional coordinates:
Li  0.000  0.000  0.000 x4
Cr  0.250  0.250  0.250 x4
In  0.250  0.250  0.750 x4
Pt  0.000  0.000  0.500 x4



# 2
First-principles (PBE) data for a relaxed structure of LiCrInRh, as listed in the Alexandria database.

## Properties
As for the formation energy: -0.08 eV/atom. Its total magnetization is 14.915 μB/cell.

a b c (Å): 6.331 6.331 6.331
angles (deg): 90.00 90.00 90.00
Space group F-43m (No. 216)
Inequivalent atoms, fractional coordinates:
Li  0.000  0.000  0.000 x4
Cr  0.250  0.250  0.750 x4
In  0.250  0.250  0.250 x4
Rh  0.000  0.000  0.500 x4



# 3
First-principles (PBE) data for a relaxed structure of LiCr4InS8, as listed in the Alexandria database.

## Properties
Its total magnetization is 36.002 μB/cell. Its offset from the most stable computed form is 94.9 meV per atom.

a b c (Å): 7.1064 7.1064 18.1973
angles (deg): 90.00 90.00 120.00
Space group R3m (No. 160, hexagonal axes)
Inequivalent atoms, fractional coordinates:
Li  0.0000  0.0000  0.0000 x3
Cr  0.0000  0.0000  0.7431 x3
Cr  0.0084  0.5042  0.8714 x9
In  0.0000  0.0000  0.3649 x3
S  0.0000  0.0000  0.1340 x3
S  0.0000  0.0000  0.6112 x3
S  0.0112  0.5056  0.1293 x9
S  0.1725  0.3450  0.9420 x9



# 4
First-principles (PBE) data for a relaxed structure of LiCr4InS8, as listed in the Alexandria database.

## Properties
Its total magnetization is 47.944 μB/cell. Its offset from the most stable computed form is 0.0 meV per atom.

a b c (Å): 10.216 10.216 10.216
angles (deg): 90.00 90.00 90.00
Space group F-43m (No. 216)
Inequivalent atoms, fractional coordinates:
Li  0.000  0.000  0.000 x4
Cr  0.129  0.129  0.371 x16
In  0.250  0.250  0.750 x4
S  0.110  0.110  0.610 x16
S  0.138  0.138  0.138 x16



# 5
First-principles (PBE) data for a relaxed structure of LiCrInSi2, as listed in the Alexandria database.

## Properties
As for the total energy: -4.858 eV per atom. Its total magnetization is 0.000 μB/cell.

a b c (Å): 4.482 4.482 5.027
angles (deg): 90.00 90.00 90.00
Space group P4/mmm (No. 123)
Inequivalent atoms, fractional coordinates:
Li  0.000  0.000  0.000 x1
Cr  0.500  0.500  0.500 x1
In  0.500  0.500  0.000 x1
Si  0.000  0.500  0.500 x2



# 6
First-principles (PBE) data for a relaxed structure of LiCrInSn, as listed in the Alexandria database.

## Properties
As for the formation energy: -0.01 eV/atom. Its total magnetization is 14.336 μB/cell.

a b c (Å): 6.730 6.730 6.730
angles (deg): 90.00 90.00 90.00
Space group F-43m (No. 216)
Inequivalent atoms, fractional coordinates:
Li  0.000  0.000  0.000 x4
Cr  0.000  0.000  0.500 x4
In  0.250  0.250  0.250 x4
Sn  0.250  0.250  0.750 x4



# 7
First-principles (PBE) data for a relaxed structure of LiTlCr2In, as listed in the Alexandria database.

## Properties
As for the formation energy: 0.87 eV/atom. Its total magnetization is 8.516 μB/cell.

a b c (Å): 4.802 4.802 4.721
angles (deg): 90.00 90.00 90.00
Space group P4/mmm (No. 123)
Inequivalent atoms, fractional coordinates:
Li  0.000  0.000  0.000 x1
Tl  0.500  0.500  0.500 x1
Cr  0.000  0.500  0.000 x2
In  0.000  0.000  0.500 x1



# 8
First-principles (PBE) data for a relaxed structure of LuCrInRh, as listed in the Alexandria database.

## Properties
As for the formation energy: -0.34 eV/atom. Its total magnetization is 12.497 μB/cell.

a b c (Å): 6.621 6.621 6.621
angles (deg): 90.00 90.00 90.00
Space group F-43m (No. 216)
Inequivalent atoms, fractional coordinates:
Lu  0.000  0.000  0.000 x4
Cr  0.250  0.250  0.750 x4
In  0.000  0.000  0.500 x4
Rh  0.250  0.250  0.250 x4



# 9
First-principles (PBE) data for a relaxed structure of TmLuCrIn, as listed in the Alexandria database.

## Properties
As for the formation energy: -0.04 eV/atom. Its total magnetization is 16.484 μB/cell.

a b c (Å): 7.264 7.264 7.264
angles (deg): 90.00 90.00 90.00
Space group F-43m (No. 216)
Inequivalent atoms, fractional coordinates:
Tm  0.000  0.000  0.000 x4
Lu  0.000  0.000  0.500 x4
Cr  0.250  0.250  0.750 x4
In  0.250  0.250  0.250 x4



# 10
First-principles (PBE) data for a relaxed structure of MgCrIn, as listed in the Alexandria database.

## Properties
As for the formation energy: 0.26 eV/atom. Its total magnetization is 8.225 μB/cell.

a b c (Å): 3.182 4.263 8.892
angles (deg): 90.00 90.00 90.00
Space group Imm2 (No. 44)
Inequivalent atoms, fractional coordinates:
Mg  0.000  0.000  0.000 x2
Cr  0.000  0.000  0.666 x2
In  0.000  0.000  0.330 x2



# 11
First-principles (PBE) data for a relaxed structure of MgCr2In2, as listed in the Alexandria database.

## Properties
As for the formation energy: 0.39 eV/atom. Its total magnetization is 0.000 μB/cell.

a b c (Å): 7.577 7.577 3.208
angles (deg): 90.00 90.00 90.00
Space group P4/mbm (No. 127)
Inequivalent atoms, fractional coordinates:
Mg  0.000  0.000  0.000 x2
Cr  0.093  0.407  0.000 x4
In  0.194  0.694  0.500 x4



# 12
First-principles (PBE) data for a relaxed structure of MgCrIn, as listed in the Alexandria database.

## Properties
As for the formation energy: 0.30 eV/atom. Its total magnetization is 7.325 μB/cell.

a b c (Å): 3.183 3.183 11.942
angles (deg): 90.00 90.00 90.00
Space group I4mm (No. 107)
Inequivalent atoms, fractional coordinates:
Mg  0.000  0.000  0.000 x2
Cr  0.000  0.000  0.340 x2
In  0.000  0.000  0.689 x2